{
  "formula": "LiInPb2",
  "functional": "GGA-PBEsol",
  "state": "relaxed",
  "lattice": [[4.567, 0.000, 0.000], [0.000, 4.728, 0.000], [0.000, 0.000, 4.732]],
  "species": ["Pb", "Pb", "In", "Li"],
  "frac_coords": [[0.000, 0.000, 0.000], [0.000, 0.500, 0.500], [0.500, 0.500, 0.000], [0.500, 0.000, 0.500]],
  "density_g_cm3": 8.71,
  "n_ef_per_ev_cell": 1.75,
  "energy_ev_per_cell": -13.49,
  "spacegroup": "P4/mmm (123)"
}